Entry 1:
19
Lattice="6.0091 3.4694 5.0559 -6.0091 3.4694 5.0559 0.0000 -6.9387 5.0559" Properties=species:S:1:pos:R:3 comment="Sm12Er6Tm (PBE-GGA, relaxed)" e_above_lowest_polymorph_ev_per_atom=0.011 formation_enthalpy_0k_ev_per_atom=0.1419 spacegroup="No. 148" pbc="T T T"
Sm -1.0777 -1.7742 2.8970
Sm -0.9976 1.8204 2.8970
Sm -1.4531 -1.5638 6.3126
Sm 2.0753 -0.0462 2.8970
Sm -2.0808 0.4766 8.8550
Sm -0.6277 2.0403 6.3126
Sm 0.6277 -2.0403 8.8550
Sm 2.0808 -0.4766 6.3126
Sm -2.0753 0.0462 12.2706
Sm 1.4531 1.5638 8.8551
Sm 0.9976 -1.8204 12.2706
Sm 1.0777 1.7742 12.2706
Er -3.6238 0.9757 5.3521
Er 0.9669 -3.6262 5.3521
Er -2.6569 -2.6505 9.8155
Er 2.6569 2.6505 5.3522
Er -0.9669 3.6262 9.8155
Er 3.6238 -0.9757 9.8155
Tm 0.0000 0.0000 0.0000

***

Entry 2:
5
Lattice="3.4947 -2.0173 0.0000 3.4947 2.0173 0.0000 -2.5894 0.0000 12.0151" Properties=species:S:1:pos:R:3 comment="Tb2NiI2 (PBE-GGA, relaxed)" raw_formation_energy_ev_per_atom=-0.889 spacegroup="No. 12" pbc="T T T"
Tb 1.1646 0.0000 1.5285
Tb 3.2354 0.0000 10.4866
Ni 3.4947 0.0000 0.0000
I -1.4248 0.0000 8.3202
I 5.8249 0.0000 3.6948

***

Entry 3:
4
Lattice="4.5478 0.0000 0.0000 0.0000 1.8587 5.1967 0.0000 -1.8587 5.1967" Properties=species:S:1:pos:R:3 comment="TbErCuPd (PBE-GGA, relaxed)" e_above_lowest_polymorph_ev_per_atom=0.000 formation_enthalpy_0k_ev_per_atom=-0.6059 spacegroup="No. 38" pbc="T T T"
Tb 0.0000 0.0000 0.0000
Er 2.2739 0.0000 7.5073
Cu 0.0000 0.0000 2.9264
Pd 2.2739 0.0000 4.5579

***

Entry 4:
12
Lattice="3.3031 -4.5161 0.0000 3.3031 4.5161 0.0000 -0.2894 0.0000 6.6029" Properties=species:S:1:pos:R:3 comment="UNi2Pt3 (PBE-GGA, relaxed)" formation_enthalpy_0k_ev_per_atom=-0.2573 spacegroup="No. 15" pbc="T T T"
U 3.0860 3.7410 4.9522
U 3.2307 -3.7410 1.6507
Ni 2.1827 1.6813 4.0567
Ni 3.9893 1.6813 5.8476
Ni 2.3274 -1.6813 0.7553
Ni 4.1340 -1.6813 2.5462
Pt 3.2307 2.4722 1.6507
Pt 1.7284 0.6624 6.4022
Pt 1.8731 -0.6624 3.1007
Pt 4.4436 0.6624 3.5022
Pt 4.5884 -0.6624 0.2008
Pt 3.0860 -2.4722 4.9522

***

Entry 5:
9
Lattice="7.6639 -2.5449 0.0000 7.6639 2.5449 0.0000 -2.5158 0.0000 7.6590" Properties=species:S:1:pos:R:3 comment="Pr4SmEr2Tm2 (PBE-GGA, relaxed)" formation_enthalpy_0k_ev_per_atom=0.0232 spacegroup="No. 12" pbc="T T T"
Pr -0.0133 0.0000 2.5289
Pr 2.5570 0.0000 5.1224
Pr 10.2550 0.0000 2.5366
Pr 12.8253 0.0000 5.1301
Sm 7.6639 0.0000 0.0000
Er 5.1223 0.0000 2.5314
Er 7.6897 0.0000 5.1276
Tm 0.0690 0.0000 7.6547
Tm 12.7430 0.0000 0.0042

***

Entry 6:
4
Lattice="2.0058 1.1580 7.7589 -2.0058 1.1580 7.7589 0.0000 -2.3161 7.7589" Properties=species:S:1:pos:R:3 comment="Ce2TcF (PBE-GGA, relaxed)" raw_formation_energy_ev_per_atom=-1.067 e_above_lowest_polymorph_ev_per_atom=0.036 spacegroup="No. 160" pbc="T T T"
Ce 0.0000 0.0000 0.0000
Ce 0.0000 0.0000 4.7481
Tc 0.0000 0.0000 13.5170
F 0.0000 0.0000 8.7282

***

Entry 7:
11
Lattice="-3.4312 3.4312 8.5316 3.4312 -3.4312 8.5316 3.4312 3.4312 -8.5316" Properties=species:S:1:pos:R:3 comment="TbPr6Nd4 (PBE-GGA, relaxed)" formation_enthalpy_0k_ev_per_atom=0.2714 spacegroup="No. 121" pbc="T T T"
Tb 0.0000 0.0000 0.0000
Pr 3.4312 0.0000 0.0000
Pr 2.1305 -2.1305 5.5073
Pr 1.3007 1.3007 3.0243
Pr 0.0000 3.4312 0.0000
Pr -2.1305 2.1305 5.5073
Pr 2.1305 2.1305 11.5559
Nd 2.2339 2.2339 -2.0649
Nd 1.1973 -1.1973 10.5965
Nd 1.1973 1.1973 6.4667
Nd -1.1973 1.1973 10.5965

***

Entry 8:
5
Lattice="5.8924 0.0000 0.0000 0.0000 5.8924 0.0000 0.0000 0.0000 4.9806" Properties=species:S:1:pos:R:3 comment="LaHIrAu2 (PBE-GGA, relaxed)" final_energy_ev_per_atom=-3.390 spacegroup="No. 123" pbc="T T T"
La 0.0000 0.0000 0.0000
H 2.9462 2.9462 2.4903
Ir 0.0000 0.0000 2.4903
Au 0.0000 2.9462 0.0000
Au 2.9462 0.0000 0.0000